## FeCoNi (PBE)

Data for a geometry-optimized FeCoNi structure.

The uncorrected energy is -6.863 eV per atom. For the size of the total moment, the calculation gives 20.10 μB per cell. The value obtained for the calculated formation energy is 0.2538 eV/atom. The crystal system is monoclinic.

```
data_FeCoNi
_chemical_formula_sum 'Fe4 Co4 Ni4'
_space_group_name_H-M_alt 'C 1 2/m 1'
_space_group_IT_number 12
_space_group_name_Hall '-C 2y'
_cell_length_a 12.6656
_cell_length_b 2.4177
_cell_length_c 4.7611
_cell_angle_alpha 90.00
_cell_angle_beta 102.52
_cell_angle_gamma 90.00
loop_
_atom_site_label
_atom_site_fract_x
_atom_site_fract_y
_atom_site_fract_z
Fe1 0.0902 0.0000 0.4129
Co1 0.2396 0.5000 0.2338
Ni1 0.0859 0.0000 0.9093
```